Entry 1:
The following is a DFT calculation (PBE) of a relaxed Rb2LiPb6 crystal.

## Properties
Formation enthalpy at 0 K ... -10 kJ per mole of atoms

Cell: 7.238 7.725 7.725 Å, 56.27 68.61 68.61°
Sites, in units of the cell vectors:
Pb (0.297, 0.580, 0.141)
Pb (0.703, 0.420, 0.859)
Pb (0.703, 0.859, 0.420)
Pb (0.297, 0.141, 0.580)
Pb (0.640, 0.866, 0.866)
Pb (0.360, 0.134, 0.134)
Li (0.000, 0.000, 0.000)
Rb (0.195, 0.640, 0.640)
Rb (0.805, 0.360, 0.360)

***

Entry 2:
The following is a DFT calculation (PBE) of a relaxed LaPr2TlH crystal.

## Properties
VASP energy ... -4.36 eV per atom

Cell: 4.924 5.147 5.147 Å, 90.00 90.00 90.00°
Sites, in units of the cell vectors:
Tl (0.500, 0.500, 0.500)
La (0.500, 0.000, 0.000)
Pr (0.000, 0.500, 0.000)
Pr (0.000, 0.000, 0.500)
H (0.000, 0.000, 0.000)

***

Entry 3:
The following is a DFT calculation (PBE) of a relaxed PmTaN crystal.

## Properties
Formation energy (no corrections) ... -188 meV per atom

Cell: 3.624 3.624 8.736 Å, 90.00 90.00 90.00°
Sites, in units of the cell vectors:
N (0.500, 0.000, 0.671)
N (0.000, 0.500, 0.329)
Ta (0.500, 0.500, 0.500)
Ta (0.000, 0.000, 0.500)
Pm (0.500, 0.000, 0.183)
Pm (0.000, 0.500, 0.817)

***

| no. | N(E_F) (states/eV/f.u.) |
| --- | --- |
| 1 | 3.402 |
| 2 | 7.863 |
| 3 | 2.378 |